The following is a DFT calculation (GGA-PBE) of an optimized crystal structure of ZrOs2Br.

Values from the calculation:
**DFT total energy**: -62.04 eV/cell
**DOS(E_F)**: 6.5 states/eV per cell
**Energy relative to the lowest polymorph listed for this composition**: 295 meV/atom

Geometry as CIF:
```
data_ZrOs2Br
_symmetry_space_group_name_H-M 'I m m m'
_symmetry_Int_Tables_number 71
_symmetry_space_group_name_Hall '-I 2 2'
_cell_length_a 3.011
_cell_length_b 4.591
_cell_length_c 9.614
_cell_angle_alpha 90.00
_cell_angle_beta 90.00
_cell_angle_gamma 90.00
loop_
_atom_site_label
_atom_site_type_symbol
_atom_site_fract_x
_atom_site_fract_y
_atom_site_fract_z
Zr1 Zr 0.000 0.000 0.000
Os1 Os 0.000 0.500 0.232
Br1 Br 0.000 0.000 0.500
```